Material: TaTl2Tc
Method: DFT, GGA-PBE
State: optimized geometry

Cell: 3.2254 3.2239 16.9954 Å, 90.00 90.00 90.00°
With the nearest neighbours (Å) after each atom.
Space group Amm2 (No. 38)
Symmetry-distinct sites (fractional):
Ta1 0.0000 0.0000 0.0000  4 Tc 2.63
Tl1 0.0000 0.0000 0.1983  4 Tc 3.08, 6 Tl 3.22-3.30, 1 Ta 3.37
Tl2 0.5000 0.0000 0.3676  4 Ta 3.20, 6 Tl 3.22-3.30, 1 Tc 3.56
Tc1 0.5000 0.0000 0.5768  4 Ta 2.63

Results
As for the relative energy among the computed polymorphs: 0.000 eV per formula unit. The calculation puts the spin magnetization at 0.00 μB per formula unit. The value obtained for the formation energy is 0.281 eV per atom.